1.
VASP calculation (SCAN) on a PBEsol-optimized structure of ZrOsSe4.

Lattice parameters (Å, degrees): 5.3766 5.3766 5.3766 60.00 60.00 60.00
Element x y z (fractional)
Zr: 0.0000 0.0000 0.0000
Os: 0.7500 0.7500 0.7500
Se: 0.3756 0.3756 0.3756
Se: 0.3756 0.3756 0.8731
Se: 0.3756 0.8731 0.3756
Se: 0.8731 0.3756 0.3756

Output
Fermi-level density of states in states/eV per cell: 5.034
Energy relative to the elements, uncorrected in eV per atom: 1.06
Spin magnetization in μB/cell: 1.477

---

2.
VASP calculation (SCAN) on a PBEsol-optimized structure of Co2AgAs.

Lattice parameters (Å, degrees): 4.1763 4.1763 2.9487 90.00 90.00 90.09
Element x y z (fractional)
Co: 0.0000 0.5000 0.0000
Co: 0.5000 0.0000 0.0000
Ag: 0.0000 0.0000 0.5000
As: 0.5000 0.5000 0.5000

Output
Fermi-level density of states in states/eV per cell: 2.874
Calculated formation energy in meV per atom: 357
Spin magnetization in μB/cell: 3.052

---

3.
VASP calculation (SCAN) on a PBEsol-optimized structure of Ga2AgIr.

Lattice parameters (Å, degrees): 4.3757 4.3757 4.3757 60.00 60.00 60.00
Element x y z (fractional)
Ga: 0.2500 0.2500 0.2500
Ga: 0.7500 0.7500 0.7500
Ag: 0.0000 0.0000 0.0000
Ir: 0.5000 0.5000 0.5000

Output
Fermi-level density of states in states/eV per cell: 1.646
Calculated formation energy in meV per atom: -103
Spin magnetization in μB/cell: 0.000

---

4.
VASP calculation (SCAN) on a PBEsol-optimized structure of TlZn2Ru.

Lattice parameters (Å, degrees): 9.2494 9.2494 9.2494 18.35 18.35 18.35
Element x y z (fractional)
Tl: 0.0000 0.0000 0.0000
Zn: 0.2372 0.2372 0.2372
Zn: 0.7628 0.7628 0.7628
Ru: 0.5000 0.5000 0.5000

Output
Energy above the lowest structure with this stoichiometry in meV per atom: 130
Fermi-level density of states in states/eV per cell: 2.065
Calculated formation energy in meV per atom: 333
Spin magnetization in μB/cell: 0.590

---

5.
VASP calculation (SCAN) on a PBEsol-optimized structure of CaYOs2.

Lattice parameters (Å, degrees): 3.2720 4.5638 4.8362 90.00 90.00 90.00
Element x y z (fractional)
Ca: 0.0000 0.0000 0.0000
Y: 0.5000 0.0000 0.5000
Os: 0.0000 0.5000 0.5000
Os: 0.5000 0.5000 0.0000

Output
Fermi-level density of states in states/eV per cell: 2.214
Calculated formation energy in meV per atom: 509
Spin magnetization in μB/cell: 0.000

---

6.
VASP calculation (SCAN) on a PBEsol-optimized structure of ReINO2.

Lattice parameters (Å, degrees): 3.7935 3.7935 4.2017 90.00 90.00 90.00
Element x y z (fractional)
Re: 0.0000 0.0000 0.0000
I: 0.5000 0.5000 0.0000
N: 0.5000 0.5000 0.5000
O: 0.0000 0.5000 0.5000
O: 0.5000 0.0000 0.5000

Output
Fermi-level density of states in states/eV per cell: 3.692
Energy relative to the elements, uncorrected in eV per atom: 2.07
Spin magnetization in μB/cell: 0.004

---

7.
VASP calculation (SCAN) on a PBEsol-optimized structure of MgZrZn2.

Lattice parameters (Å, degrees): 2.8516 3.8964 6.2535 90.00 90.00 90.00
Element x y z (fractional)
Mg: 0.0000 0.0000 0.0000
Zr: 0.0000 0.0000 0.5000
Zn: 0.5000 0.5000 0.2422
Zn: 0.5000 0.5000 0.7578

Output
Fermi-level density of states in states/eV per cell: 1.764
Calculated formation energy in meV per atom: -207
Spin magnetization in μB/cell: 0.000

---

8.
VASP calculation (SCAN) on a PBEsol-optimized structure of YSi2Sb.

Lattice parameters (Å, degrees): 3.9209 3.9478 6.0246 90.00 106.79 90.00
Element x y z (fractional)
Y: 0.0000 0.0000 0.0000
Si: 0.3807 0.5000 0.8001
Si: 0.6193 0.5000 0.1999
Sb: 0.5000 0.0000 0.5000

Output
Fermi-level density of states in states/eV per cell: 1.766
Energy relative to the elements, uncorrected in eV per atom: -0.14
Spin magnetization in μB/cell: 0.000

---

9.
VASP calculation (SCAN) on a PBEsol-optimized structure of Ir3NCl.

Lattice parameters (Å, degrees): 4.1030 4.1030 4.1030 90.00 90.00 90.00
Element x y z (fractional)
Ir: 0.0000 0.0000 0.5000
Ir: 0.0000 0.5000 0.0000
Ir: 0.5000 0.0000 0.0000
N: 0.0000 0.0000 0.0000
Cl: 0.5000 0.5000 0.5000

Output
Fermi-level density of states in states/eV per cell: 4.927
Energy relative to the elements, uncorrected in eV per atom: 1.48
Spin magnetization in μB/cell: 0.000

---

10.
VASP calculation (SCAN) on a PBEsol-optimized structure of NbNiRh3.

Lattice parameters (Å, degrees): 4.3277 4.3277 4.3277 90.00 90.00 90.00
Element x y z (fractional)
Nb: 0.0000 0.0000 0.0000
Ni: 0.5000 0.5000 0.5000
Rh: 0.0000 0.5000 0.5000
Rh: 0.5000 0.0000 0.5000
Rh: 0.5000 0.5000 0.0000

Output
Fermi-level density of states in states/eV per cell: 6.231
Calculated formation energy in meV per atom: 931
Spin magnetization in μB/cell: 1.166

---

11.
VASP calculation (SCAN) on a PBEsol-optimized structure of NaGaSe2N.

Lattice parameters (Å, degrees): 5.3896 5.3896 3.5354 90.00 90.00 90.00
Element x y z (fractional)
Na: 0.0000 0.0000 0.0000
Ga: 0.5000 0.5000 0.5000
Se: 0.0000 0.5000 0.5000
Se: 0.5000 0.0000 0.5000
N: 0.5000 0.5000 0.0000

Output
Fermi-level density of states in states/eV per cell: 2.552
Energy relative to the elements, uncorrected in eV per atom: 0.19
Spin magnetization in μB/cell: 2.065

---

12.
VASP calculation (SCAN) on a PBEsol-optimized structure of Ba2ScZn2.

Lattice parameters (Å, degrees): 11.4867 11.4867 11.4867 161.25 161.25 26.64
Element x y z (fractional)
Ba: 0.1220 0.1220 0.0000
Ba: 0.8780 0.8780 0.0000
Sc: 0.5000 0.5000 0.0000
Zn: 0.2500 0.7500 0.5000
Zn: 0.7500 0.2500 0.5000

Output
Fermi-level density of states in states/eV per cell: 5.004
Calculated formation energy in meV per atom: 262
Spin magnetization in μB/cell: 2.792